Compound: LaPaTl2O8
Source: Alexandria
Functional: GGA-PBE
Structure: optimized geometry

## Properties
* electronic total energy: -80.5 eV/cell
* SG: I-4m2 (119)
* total moment: 0.092 μB/atom

Unit cell a=6.340 b=6.340 c=6.340 alpha=111.81 beta=111.81 gamma=104.88
Fractional positions:
O  0.286  0.481  0.195
O  0.286  0.091  0.805
La  0.000  0.000  0.000
O  0.979  0.311  0.332
O  0.353  0.021  0.332
O  0.909  0.714  0.195
O  0.689  0.021  0.668
O  0.979  0.647  0.668
O  0.519  0.714  0.805
Tl  0.750  0.250  0.500
Pa  0.250  0.750  0.500
Tl  0.500  0.500  0.000